<one>
DFT (PBE with a Hubbard U) results for crystalline BaVF3 at its relaxed geometry.

## Properties
**Volume**: 85.3 Å³/cell
**Density**: 4.77 g/cm3

Geometry as POSCAR:
```
BaVF3
1.0
4.4022 0.0000 0.0000
0.0000 4.4022 0.0000
0.0000 0.0000 4.4022
V Ba F
1 1 3
Direct
0.0000 0.0000 0.0000 V
0.5000 0.5000 0.5000 Ba
0.0000 0.5000 0.0000 F
0.0000 0.0000 0.5000 F
0.5000 0.0000 0.0000 F
```



<two>
DFT (PBE with a Hubbard U) results for crystalline BaVF3 at its relaxed geometry.

## Properties
**Volume**: 129.6 Å³/cell
**Density**: 3.14 g/cm3

Geometry as POSCAR:
```
BaVF3
1.0
5.0608 0.0000 0.0000
0.0000 5.0608 0.0000
0.0000 0.0000 5.0608
V Ba F
1 1 3
Direct
0.5000 0.5000 0.5000 V
0.0000 0.0000 0.0000 Ba
0.0000 0.5000 0.0000 F
0.0000 0.0000 0.5000 F
0.5000 0.0000 0.0000 F
```



Which structure wins on stability? <one> wins.



<one>
DFT (PBE with a Hubbard U) results for crystalline BaW2F at its relaxed geometry.

## Properties
**Volume**: 78.9 Å³/cell
**Density**: 11.03 g/cm3

Geometry as POSCAR:
```
BaW2F
1.0
0.6638 -4.0956 -2.4423
-3.3175 -3.4836 0.1947
-2.7069 -0.9650 -3.8628
Ba W F
1 2 1
Direct
0.5000 0.5000 0.5000 Ba
0.2500 0.2500 0.2500 W
0.7500 0.7500 0.7500 W
0.0000 0.0000 0.0000 F
```



<two>
DFT (PBE with a Hubbard U) results for crystalline BaW2F at its relaxed geometry.

## Properties
**Volume**: 264.1 Å³/cell
**Density**: 6.59 g/cm3

Geometry as POSCAR:
```
BaW2F
1.0
7.1131 0.0000 0.0000
0.0000 7.1131 0.0000
3.5566 3.5566 5.2198
Ba W F
2 4 2
Direct
0.0000 0.0000 0.0000 Ba
0.7500 0.2500 0.5000 Ba
0.3750 0.1250 0.2500 W
0.3750 0.6250 0.2500 W
0.3750 0.6250 0.7500 W
0.8750 0.6250 0.7500 W
0.5000 0.5000 0.0000 F
0.2500 0.7500 0.5000 F
```



Which structure wins on stability? <two> wins.